A plane-wave DFT calculation with PBE was carried out for a relaxed structure of TlSi2Os.

abc: 2.9389 2.9389 9.5404
angles: 90.00 90.00 117.64
Fractional coordinates of all 4 atoms:
Si 0.0000 0.0000 0.9865
Si 0.5000 0.5000 0.1954
Os 0.5000 0.5000 0.7994
Tl 0.0000 0.0000 0.5187

Output
**Final energy**: -22.00 eV for the cell shown
**D(E_F)**: 2.3 states/eV per cell
**Energy above the most stable polymorph in this dataset**: 1.913 eV/f.u.

***

A plane-wave DFT calculation with PBE was carried out for a relaxed structure of TlSi2Os.

abc: 3.2154 4.5700 4.5700
angles: 90.00 90.00 90.00
Fractional coordinates of all 4 atoms:
Si 0.0000 0.5000 0.5000
Si 0.0000 0.0000 0.0000
Os 0.5000 0.0000 0.5000
Tl 0.5000 0.5000 0.0000

Output
**Final energy**: -20.87 eV for the cell shown
**D(E_F)**: 3.3 states/eV per cell
**Energy above the most stable polymorph in this dataset**: 3.048 eV/f.u.

***

A plane-wave DFT calculation with PBE was carried out for a relaxed structure of TlSiOs2.

abc: 4.3214 4.3214 9.0700
angles: 76.22 76.22 90.00
Fractional coordinates of all 8 atoms:
Os 0.5101 0.1250 0.2500
Os 0.3750 0.4899 0.7500
Os 0.8750 0.7601 0.7500
Os 0.2399 0.6250 0.2500
Si 0.2500 0.7500 0.5000
Si 0.5000 0.5000 0.0000
Tl 0.0000 0.0000 0.0000
Tl 0.7500 0.2500 0.5000

Output
**Final energy**: -53.53 eV for the cell shown
**D(E_F)**: 11.6 states/eV per cell
**Energy above the most stable polymorph in this dataset**: 1.909 eV/f.u.

***

A plane-wave DFT calculation with PBE was carried out for a relaxed structure of TlSiOs2.

abc: 2.9149 2.9149 8.8624
angles: 90.00 90.00 118.54
Fractional coordinates of all 4 atoms:
Os 0.0000 0.0000 0.0427
Os 0.0000 0.0000 0.4573
Tl 0.5000 0.5000 0.7500
Si 0.5000 0.5000 0.2500

Output
**Final energy**: -28.11 eV for the cell shown
**D(E_F)**: 2.9 states/eV per cell
**Energy above the most stable polymorph in this dataset**: 0.570 eV/f.u.

***

A plane-wave DFT calculation with PBE was carried out for a relaxed structure of TlSi2Os.

abc: 9.2981 9.2981 9.2981
angles: 19.02 19.02 19.02
Fractional coordinates of all 4 atoms:
Si 0.0196 0.0196 0.0196
Si 0.4804 0.4804 0.4804
Tl 0.2500 0.2500 0.2500
Os 0.7500 0.7500 0.7500

Output
**Final energy**: -23.40 eV for the cell shown
**D(E_F)**: 2.6 states/eV per cell
**Energy above the most stable polymorph in this dataset**: 0.520 eV/f.u.

***

A plane-wave DFT calculation with PBE was carried out for a relaxed structure of TlSiOs2.

abc: 4.4445 4.4445 3.1801
angles: 90.00 90.00 90.00
Fractional coordinates of all 4 atoms:
Tl 0.0000 0.5000 0.5000
Os 0.0000 0.0000 0.0000
Os 0.5000 0.5000 0.0000
Si 0.5000 0.0000 0.5000

Output
**Final energy**: -27.21 eV for the cell shown
**D(E_F)**: 3.3 states/eV per cell
**Energy above the most stable polymorph in this dataset**: 1.469 eV/f.u.

***

A plane-wave DFT calculation with PBE was carried out for a relaxed structure of TlSiOs2.

abc: 6.3233 6.3233 6.3233
angles: 152.06 144.86 45.48
Fractional coordinates of all 4 atoms:
Os 0.3145 0.8145 0.5000
Os 0.0150 0.0150 0.0000
Tl 0.7014 0.2014 0.5000
Si 0.4691 0.4691 0.0000

Output
**Final energy**: -27.78 eV for the cell shown
**D(E_F)**: 4.2 states/eV per cell
**Energy above the most stable polymorph in this dataset**: 0.900 eV/f.u.

***

A plane-wave DFT calculation with PBE was carried out for a relaxed structure of TlSiOs2.

abc: 3.1936 3.1936 6.5503
angles: 90.00 90.00 90.00
Fractional coordinates of all 4 atoms:
Os 0.5000 0.5000 0.2919
Os 0.0000 0.0000 0.0265
Tl 0.5000 0.5000 0.7532
Si 0.0000 0.0000 0.4284

Output
**Final energy**: -27.55 eV for the cell shown
**D(E_F)**: 4.9 states/eV per cell
**Energy above the most stable polymorph in this dataset**: 1.122 eV/f.u.

***

A plane-wave DFT calculation with PBE was carried out for a relaxed structure of Tl2SiOs.

abc: 5.5989 5.5989 3.4680
angles: 74.43 74.43 118.71
Fractional coordinates of all 4 atoms:
Os 0.5000 0.0000 0.5000
Si 0.0000 0.5000 0.5000
Tl 0.5000 0.5000 0.0000
Tl 0.0000 0.0000 0.0000

Output
**Final energy**: -17.20 eV for the cell shown
**D(E_F)**: 3.6 states/eV per cell
**Energy above the most stable polymorph in this dataset**: 3.325 eV/f.u.

***

A plane-wave DFT calculation with PBE was carried out for a relaxed structure of TlSiOs.

abc: 6.1900 6.1900 6.1900
angles: 150.85 150.85 41.70
Fractional coordinates of all 3 atoms:
Tl 0.3367 0.3367 0.0000
Si 0.6254 0.6254 0.0000
Os 0.0380 0.0380 0.0000

Output
**Final energy**: -17.87 eV for the cell shown
**D(E_F)**: 2.6 states/eV per cell
**Energy above the most stable polymorph in this dataset**: 0.000 eV/f.u.

***

A plane-wave DFT calculation with PBE was carried out for a relaxed structure of Tl2SiOs.

abc: 5.0328 5.0328 3.2806
angles: 90.00 90.00 108.93
Fractional coordinates of all 4 atoms:
Os 0.5000 0.0000 0.5000
Si 0.0000 0.5000 0.5000
Tl 0.0000 0.0000 0.0000
Tl 0.5000 0.5000 0.0000

Output
**Final energy**: -17.16 eV for the cell shown
**D(E_F)**: 3.5 states/eV per cell
**Energy above the most stable polymorph in this dataset**: 3.363 eV/f.u.

***

A plane-wave DFT calculation with PBE was carried out for a relaxed structure of TlSiOs3.

abc: 4.4553 4.4553 4.4553
angles: 90.00 90.00 90.00
Fractional coordinates of all 5 atoms:
Os 0.0000 0.0000 0.5000
Os 0.0000 0.5000 0.0000
Os 0.5000 0.0000 0.0000
Si 0.0000 0.0000 0.0000
Tl 0.5000 0.5000 0.5000

Output
**Final energy**: -35.47 eV for the cell shown
**D(E_F)**: 5.2 states/eV per cell
**Energy above the most stable polymorph in this dataset**: 0.000 eV/f.u.

***

Values of E_form (uncorrected), in order: 0.61 0.89 0.87 0.54 0.26 0.76 0.62 0.67 1.05 0.38 1.06 1.20, all in eV/atom.